Entry from the Alexandria database: a geometry-optimized VTc3Os structure (PBE).

a = 4.362 Å, b = 4.362 Å, c = 4.362 Å
α = 90.00°, β = 90.00°, γ = 90.00°
Atoms (fractional coordinates):
V: 0.000 0.000 0.000
Tc: 0.000 0.000 0.500
Tc: 0.000 0.500 0.000
Tc: 0.500 0.000 0.000
Os: 0.500 0.500 0.500

Calculated values
- Calculated volume: 83.0 Å³/f.u.
- Calculated total energy: -44.182 eV for the cell shown